A relaxed HoMgMoO4 crystal, computed with PBE with a Hubbard U.

Properties
Spin magnetization: 3.00 μB per formula unit
Calculated total energy: -7.31 eV/atom

Geometry as POSCAR:
```
HoMgMoO4
1.0
-3.208 3.276 4.508
3.208 -3.276 4.508
3.208 3.276 -4.508
Ho Mg Mo O
2 2 2 8
Direct
0.000 0.000 0.000
0.500 0.000 0.500
0.369 0.619 0.750
0.631 0.381 0.250
0.000 0.000 0.500
0.000 0.500 0.000
0.229 0.748 0.482
0.234 0.252 0.982
0.242 0.232 0.490
0.242 0.752 0.010
0.758 0.248 0.990
0.758 0.768 0.510
0.766 0.748 0.018
0.771 0.252 0.518
```